(1)
Entry from Alexandria via LeMat-Bulk: an optimized crystal structure of Mn2MoIr (PBE).

```
Mn2MoIr
1.0
-3.6052 0.0256 -2.9643
-2.7287 -2.5348 -2.8132
-3.4215 -1.0008 2.8882
Ir Mn Mo
1 2 1
Cartesian
-2.4644 -0.8880 -0.7519 Ir
-3.3877 -0.9920 2.8421 Mn
-7.3427 -2.6364 -2.0800 Mn
-4.8597 -1.7495 -1.4559 Mo
```

- Space group: No. 8
- M_tot: 0.00 μB per formula unit

(2)
Entry from Alexandria via LeMat-Bulk: an optimized crystal structure of Cd12In3Ag (PBE).

```
Cd12In3Ag
1.0
-1.1982 0.7869 4.2907
-3.8663 -2.2523 -0.6666
8.0261 -15.2698 5.0416
Cd In Ag
12 3 1
Cartesian
-2.5322 -0.7327 1.8121 Cd
-0.5848 -4.4378 3.0354 Cd
1.4808 -8.3676 4.3329 Cd
3.5464 -12.2974 5.6304 Cd
0.3183 -1.3519 2.7216 Cd
2.3769 -5.2685 4.0148 Cd
4.4510 -9.2144 5.3176 Cd
6.5096 -13.1310 6.6107 Cd
-1.0158 -2.8715 0.2430 Cd
1.0429 -6.7880 1.5361 Cd
3.1170 -10.7340 2.8389 Cd
5.1756 -14.6506 4.1320 Cd
1.9516 -3.7130 1.2259 In
4.0131 -7.6349 2.5208 In
6.0745 -11.5568 3.8157 In
0.0000 0.0000 0.0000 Ag
```

- Space group: No. 123
- M_tot: 0.00 μB per formula unit

(3)
Entry from Alexandria via LeMat-Bulk: an optimized crystal structure of MgCd2Ga2Ag4 (PBE).

```
MgCd2Ga2Ag4
1.0
3.0590 0.0000 0.0000
-1.5295 6.8916 0.3346
0.0000 -2.0674 7.9538
Mg Cd Ga Ag
1 2 2 4
Cartesian
0.0000 0.0000 0.0000 Mg
1.5295 3.9301 3.6318 Cd
0.0000 0.8941 4.6566 Cd
0.0000 4.4541 0.7957 Ga
1.5295 0.3701 7.4927 Ga
1.5295 2.8177 6.3174 Ag
0.0000 2.0065 1.9710 Ag
1.5295 -0.4815 2.4875 Ag
0.0000 5.3057 5.8008 Ag
```

- Space group: No. 12
- M_tot: 0.00 μB per formula unit

Energy of formation: -1.3 2.2 -5.9 (kJ/mol of atoms)